Material: SrSbS3
Method: DFT, PBE
State: optimized geometry

Values from the calculation:
Formation energy from raw total energies, eV per atom: 0.389
SG: Pm-3m (221)
Uncorrected energy, eV/cell: -16.24
Energy above the most stable polymorph in this dataset, eV per atom: 1.3432
Theoretical density, g cm⁻³: 3.14

Structure (extended XYZ):
```
5
Lattice="-1.104 -4.012 3.516 -3.124 -2.424 -3.747 4.324 -2.775 -1.809" Properties=species:S:1:pos:R:3 pbc="T T T"
Sb 0.048 -4.605 -1.020
S 2.162 -1.388 -0.905
S -1.562 -1.212 -1.873
S -0.552 -2.006 1.758
Sr 0.000 0.000 0.000
```